# NdMgTc4

A geometry-optimized NdMgTc4 structure (PBE, Alexandria via LeMat-Bulk).

Cell lengths 5.365, 5.365, 5.365 Å; angles 60.00, 60.00, 60.00 degrees
Fractional coordinates of all 6 atoms:
Nd  0.000  0.000  0.000
Mg  0.250  0.250  0.250
Tc  0.126  0.625  0.625
Tc  0.625  0.126  0.625
Tc  0.625  0.625  0.126
Tc  0.625  0.625  0.625

Results
DFT formation energy: 110 meV/atom
E: -47.17 eV/cell

***

# TbTm5Tl

A geometry-optimized TbTm5Tl structure (PBE, Alexandria via LeMat-Bulk).

Cell lengths 7.581, 7.581, 7.581 Å; angles 117.09, 82.69, 132.20 degrees
Fractional coordinates of all 7 atoms:
Tb  0.000  0.000  0.000
Tm  0.361  0.613  0.748
Tm  0.502  0.317  0.815
Tm  0.502  0.688  0.185
Tm  0.796  0.296  0.500
Tm  0.865  0.613  0.252
Tl  0.270  0.770  0.500

Results
DFT formation energy: 744 meV/atom
E: -24.15 eV/cell

***

# LiRu2W

A geometry-optimized LiRu2W structure (PBE, Alexandria via LeMat-Bulk).

Cell lengths 5.025, 5.025, 4.213 Å; angles 114.72, 114.72, 35.82 degrees
Fractional coordinates of all 4 atoms:
Li  0.000  0.000  0.000
Ru  0.503  0.503  0.503
Ru  0.749  0.749  0.247
W  0.241  0.241  0.739

Results
DFT formation energy: 170 meV/atom
E: -32.74 eV/cell

***

# Sm4PuCd5

A geometry-optimized Sm4PuCd5 structure (PBE, Alexandria via LeMat-Bulk).

Cell lengths 3.816, 3.816, 18.939 Å; angles 90.00, 90.00, 90.00 degrees
Fractional coordinates of all 10 atoms:
Sm  0.000  0.000  0.100
Sm  0.000  0.000  0.301
Sm  0.000  0.000  0.699
Sm  0.000  0.000  0.900
Pu  0.000  0.000  0.500
Cd  0.500  0.500  0.000
Cd  0.500  0.500  0.200
Cd  0.500  0.500  0.399
Cd  0.500  0.500  0.601
Cd  0.500  0.500  0.800

Results
DFT formation energy: -239 meV/atom
E: -40.18 eV/cell

***

# ZrMnAl4

A geometry-optimized ZrMnAl4 structure (PBE, Alexandria via LeMat-Bulk).

Cell lengths 7.346, 7.346, 5.132 Å; angles 110.43, 110.43, 52.16 degrees
Fractional coordinates of all 12 atoms:
Zr  0.217  0.217  0.218
Zr  0.783  0.783  0.782
Mn  0.500  0.500  0.272
Mn  0.500  0.500  0.728
Al  0.092  0.682  0.387
Al  0.190  0.810  0.000
Al  0.318  0.908  0.613
Al  0.324  0.324  0.825
Al  0.676  0.676  0.175
Al  0.682  0.092  0.387
Al  0.810  0.190  0.000
Al  0.908  0.318  0.613

Results
DFT formation energy: -170 meV/atom
E: -67.42 eV/cell

***

# Sm2Be2SiO7

A geometry-optimized Sm2Be2SiO7 structure (PBE, Alexandria via LeMat-Bulk).

Cell lengths 7.451, 7.451, 4.863 Å; angles 90.00, 90.00, 90.00 degrees
Fractional coordinates of all 24 atoms:
Sm  0.160  0.340  0.006
Sm  0.340  0.840  0.994
Sm  0.660  0.160  0.994
Sm  0.840  0.660  0.006
Be  0.136  0.636  0.538
Be  0.364  0.136  0.462
Be  0.636  0.864  0.462
Be  0.864  0.364  0.538
Si  0.000  0.000  0.500
Si  0.500  0.500  0.500
O  0.000  0.500  0.674
O  0.079  0.836  0.694
O  0.141  0.641  0.211
O  0.164  0.079  0.306
O  0.336  0.579  0.694
O  0.359  0.141  0.789
O  0.421  0.336  0.306
O  0.500  0.000  0.326
O  0.579  0.664  0.306
O  0.641  0.859  0.789
O  0.664  0.421  0.694
O  0.836  0.921  0.306
O  0.859  0.359  0.211
O  0.921  0.164  0.694

Results
Raw formation energy: -3.14 eV per atom
E: -189.49 eV/cell